## KCdAsCl6 (PBE)

Data for an optimized crystal structure of KCdAsCl6. Values from VASP.

Geometry as Quantum ESPRESSO input:
```
&SYSTEM
  ibrav = 0, nat = 9, ntyp = 4
/
ATOMIC_SPECIES
Cl 35.45 Cl.upf
As 74.92 As.upf
Cd 112.41 Cd.upf
K 39.10 K.upf
CELL_PARAMETERS angstrom
6.760 0.000 0.000
3.380 5.855 0.000
0.000 0.000 6.959
ATOMIC_POSITIONS angstrom
Cl 5.584 2.213 4.953
Cl 8.812 3.730 4.953
Cl 7.936 2.213 2.007
Cl 5.885 5.766 4.953
Cl 4.709 3.730 2.007
Cl 7.636 5.766 2.007
As 6.760 3.903 3.480
Cd 3.380 1.951 3.480
K 6.760 0.000 6.959
```

The calculation puts the density of states at the Fermi level at 0.000 states/eV per atom. The space-group type is No. 149. For the size of the total moment, the calculation gives 0.0 μB/cell. Its uncorrected formation energy is -1102 meV/atom.